Nd7AlI12 | PBE-GGA | optimized geometry

Cell and atoms, written as CIF:
```
data_Nd7AlI12
_cell_length_a 16.1987
_cell_length_b 16.1987
_cell_length_c 10.8213
_cell_angle_alpha 90.00
_cell_angle_beta 90.00
_cell_angle_gamma 120.00
_symmetry_space_group_name_H-M 'R -3'
_symmetry_Int_Tables_number 148
_symmetry_space_group_name_Hall '-R 3'
loop_
_atom_site_label
_atom_site_fract_x
_atom_site_fract_y
_atom_site_fract_z
Nd1 0.0000 0.0000 0.0000
Nd2 0.0475 0.1667 0.3460
Al1 0.0000 0.0000 0.5000
I1 0.0220 0.5874 0.1662
I2 0.0517 0.1835 0.8393
```

Summary:
Uncorrected formation energy: -1229 meV per atom
N(E_F): 37.80 states/eV per cell
ρ: 5.19 Mg/m³
Total energy: -4.0152 eV per atom
V: 2459.1 Å³/cell